1 | Here is crystalline TlPt3N at its relaxed geometry from Alexandria. Energies are from PBE.

Cell: 4.3039 4.3039 4.3039 Å, 90.00 90.00 90.00°
Element x y z (fractional)
1 Tl 0.0000 0.0000 0.0000
2 Pt 0.0000 0.5000 0.5000
3 Pt 0.5000 0.0000 0.5000
4 Pt 0.5000 0.5000 0.0000
5 N 0.5000 0.5000 0.5000


2 | Here is crystalline TlPt3N at its relaxed geometry from Alexandria. Energies are from PBE.

Cell: 5.1411 5.1411 5.1411 Å, 90.00 90.00 90.00°
Element x y z (fractional)
1 Tl 0.0000 0.0000 0.0000
2 Pt 0.0000 0.0000 0.5000
3 Pt 0.0000 0.5000 0.0000
4 Pt 0.5000 0.0000 0.0000
5 N 0.5000 0.5000 0.5000


The calculated energies rank the structures as follows, beginning with the most stable: 1, 2.